Density functional theory data (PBE-GGA) for an optimized crystal structure of Tb6Y2HoSc.

For the total energy, the calculation gives -5.031 eV/atom. The density of states at the Fermi level comes out at 53.45 states/eV per cell.

It has space group C2/c (No. 15), with a = 9.096 Å, b = 14.903 Å, c = 9.365 Å, α = 90.00°, β = 96.67° and γ = 90.00°. The distinct sites, in fractional coordinates, are Tb at (0.059, 0.184, 0.445), Tb at (0.099, 0.390, 0.615), Tb at (0.216, 0.220, 0.809), Y at (0.247, 0.449, 0.953), Ho at (0.000, 0.025, 0.750) and Sc at (0.000, 0.415, 0.250).

---

Density functional theory data (PBE-GGA) for an optimized crystal structure of CsTaTl3.

For the total energy, the calculation gives -1.958 eV/atom. The density of states at the Fermi level comes out at 8.24 states/eV per cell.

It has space group Pm-3m (No. 221), with a = 6.306 Å, b = 6.306 Å, c = 6.306 Å, α = 90.00°, β = 90.00° and γ = 90.00°. The distinct sites, in fractional coordinates, are Cs at (0.000, 0.000, 0.000), Ta at (0.500, 0.500, 0.500) and Tl at (0.000, 0.000, 0.500).

---

Density functional theory data (PBE-GGA) for an optimized crystal structure of LaTeF3.

For the total energy, the calculation gives -5.508 eV/atom. The raw formation energy comes out at -2771 meV per atom. The density of states at the Fermi level comes out at 2.60 states/eV per cell.

It has space group Pm-3m (No. 221), with a = 4.772 Å, b = 4.772 Å, c = 4.772 Å, α = 90.00°, β = 90.00° and γ = 90.00°. The distinct sites, in fractional coordinates, are La at (0.000, 0.000, 0.000), Te at (0.500, 0.500, 0.500) and F at (0.000, 0.000, 0.500).